Entry 1:
! KSb2H2 (PBE, relaxed); values from VASP
&SYSTEM
  ibrav = 0, nat = 5, ntyp = 3
/
ATOMIC_SPECIES
K 39.10 K.upf
Sb 121.76 Sb.upf
H 1.01 H.upf
CELL_PARAMETERS angstrom
6.961 -2.429 -1.870
-4.452 7.252 1.591
-1.712 1.933 3.935
ATOMIC_POSITIONS angstrom
K 0.000 0.000 0.000
Sb -1.155 4.644 1.129
Sb 1.952 2.111 2.528
H 2.848 0.711 0.050
H -2.050 6.044 3.607
! Energy above the lowest structure with this stoichiometry (eV per atom): 0.000
! Magnetization (μB/atom): 0.00

Entry 2:
! MgGaPt2 (PBE, relaxed); values from VASP
&SYSTEM
  ibrav = 0, nat = 4, ntyp = 3
/
ATOMIC_SPECIES
Mg 24.30 Mg.upf
Ga 69.72 Ga.upf
Pt 195.08 Pt.upf
CELL_PARAMETERS angstrom
-5.465 1.819 1.327
2.338 -5.379 -0.738
5.545 -1.426 1.471
ATOMIC_POSITIONS angstrom
Mg 0.000 0.000 0.000
Ga 3.941 -3.402 0.367
Pt 2.039 -1.761 0.190
Pt 5.843 -5.044 0.544
! ΔE_f (kcal/mol of atoms): -3.2
! Magnetization (μB/atom): 0.00

Entry 3:
! Na3HfFe (PBE, relaxed); values from VASP
&SYSTEM
  ibrav = 0, nat = 5, ntyp = 3
/
ATOMIC_SPECIES
Na 22.99 Na.upf
Hf 178.49 Hf.upf
Fe 55.84 Fe.upf
CELL_PARAMETERS angstrom
6.057 0.000 0.000
0.000 6.057 0.000
0.000 0.000 6.057
ATOMIC_POSITIONS angstrom
Na 0.000 3.029 0.000
Na 0.000 0.000 3.029
Na 3.029 0.000 0.000
Hf 0.000 0.000 0.000
Fe 3.029 3.029 3.029
! ΔE_f (kcal/mol of atoms): 46.3
! Energy above the lowest structure with this stoichiometry (eV per atom): 0.317
! Magnetization (μB/atom): 1.33

Entry 4:
! AlGa4Cu (PBE, relaxed); values from VASP
&SYSTEM
  ibrav = 0, nat = 12, ntyp = 3
/
ATOMIC_SPECIES
Al 26.98 Al.upf
Ga 69.72 Ga.upf
Cu 63.55 Cu.upf
CELL_PARAMETERS angstrom
5.632 0.000 -2.873
-1.465 5.438 -2.873
-0.080 -0.105 6.799
ATOMIC_POSITIONS angstrom
Al 2.083 2.719 -2.873
Al 0.000 0.000 0.000
Ga 1.274 5.337 -2.364
Ga 4.381 4.257 -3.229
Ga 0.888 2.619 -0.357
Ga 3.198 2.714 1.410
Ga -0.295 1.076 4.283
Ga 2.812 -0.005 3.417
Ga 0.091 3.795 2.276
Ga 3.995 1.538 -1.222
Cu 1.001 1.307 1.963
Cu 3.085 4.026 -0.910
! ΔE_f (kcal/mol of atoms): -0.9
! Energy above the lowest structure with this stoichiometry (eV per atom): 0.000
! Magnetization (μB/atom): 0.00

Entry 5:
! PBrNCl2 (PBE, relaxed); values from VASP
&SYSTEM
  ibrav = 0, nat = 5, ntyp = 4
/
ATOMIC_SPECIES
P 30.97 P.upf
N 14.01 N.upf
Br 79.90 Br.upf
Cl 35.45 Cl.upf
CELL_PARAMETERS angstrom
4.338 0.000 0.000
0.000 4.338 0.000
0.000 0.000 4.655
ATOMIC_POSITIONS angstrom
P 0.000 0.000 2.327
N 0.000 0.000 0.000
Br 2.169 2.169 2.327
Cl 0.000 2.169 0.000
Cl 2.169 0.000 0.000
! Energy above the lowest structure with this stoichiometry (eV per atom): 0.000
! Magnetization (μB/atom): 0.00

Entry 6:
! Be3GeRh (PBE, relaxed); values from VASP
&SYSTEM
  ibrav = 0, nat = 5, ntyp = 3
/
ATOMIC_SPECIES
Be 9.01 Be.upf
Ge 72.64 Ge.upf
Rh 102.91 Rh.upf
CELL_PARAMETERS angstrom
4.094 0.000 0.000
0.000 4.094 0.000
0.000 0.000 4.094
ATOMIC_POSITIONS angstrom
Be 0.000 2.047 0.000
Be 0.000 0.000 2.047
Be 2.047 0.000 0.000
Ge 0.000 0.000 0.000
Rh 2.047 2.047 2.047
! ΔE_f (kcal/mol of atoms): 20.3
! Energy above the lowest structure with this stoichiometry (eV per atom): 0.433
! Magnetization (μB/atom): 0.00